The following is a DFT calculation (GGA-PBE) of crystalline CePmAlSi at its relaxed geometry.

Cell: 5.1532 5.1532 5.1532 Å, 60.00 60.00 60.00°
Closest atoms and distances in Å follow each position.
Fractional positions:
Ce 0.0000 0.0000 0.0000  4 Al 3.16, 4 Si 3.16
Pm 0.5000 0.5000 0.5000  4 Al 3.16, 4 Si 3.16
Al 0.7500 0.7500 0.7500  4 Ce 3.16, 4 Pm 3.16
Si 0.2500 0.2500 0.2500  4 Ce 3.16, 4 Pm 3.16

Results
The value obtained for the energy relative to the elements, uncorrected is -324 meV/atom. Its symmetry is F-43m, No. 216. The value obtained for the theoretical density is 5.84 g/cm3. The calculation puts the distance to the lowest polymorph of the same formula at 0.2124 eV per atom.

The following is a DFT calculation (GGA-PBE) of crystalline CePmSmAl at its relaxed geometry.

Cell: 5.3829 5.3829 5.3829 Å, 60.00 60.00 60.00°
Closest atoms and distances in Å follow each position.
Fractional positions:
Ce 0.0000 0.0000 0.0000  4 Pm 3.30, 4 Sm 3.30
Pm 0.2500 0.2500 0.2500  4 Al 3.30, 4 Ce 3.30
Sm 0.7500 0.7500 0.7500  4 Ce 3.30, 4 Al 3.30
Al 0.5000 0.5000 0.5000  4 Sm 3.30, 4 Pm 3.30

Results
The formation energy is 0.000 eV per atom. Its symmetry is F-43m, No. 216. The value obtained for the theoretical density is 6.96 g/cm3.

The following is a DFT calculation (GGA-PBE) of crystalline CePmAlSn at its relaxed geometry.

Cell: 5.3563 5.3563 5.3563 Å, 60.00 60.00 60.00°
Closest atoms and distances in Å follow each position.
Fractional positions:
Ce 0.0000 0.0000 0.0000  4 Sn 3.28, 4 Al 3.28
Pm 0.5000 0.5000 0.5000  4 Sn 3.28, 4 Al 3.28
Al 0.2500 0.2500 0.2500  4 Ce 3.28, 4 Pm 3.28
Sn 0.7500 0.7500 0.7500  4 Ce 3.28, 4 Pm 3.28

Results
The formation energy is -0.406 eV per atom. Its symmetry is F-43m, No. 216. The value obtained for the theoretical density is 6.58 g/cm3.

The following is a DFT calculation (GGA-PBE) of crystalline CePmThAl at its relaxed geometry.

Cell: 5.3829 5.3829 5.3829 Å, 60.00 60.00 60.00°
Closest atoms and distances in Å follow each position.
Fractional positions:
Ce 0.0000 0.0000 0.0000  4 Th 3.30, 4 Pm 3.30
Pm 0.7500 0.7500 0.7500  4 Ce 3.30, 4 Al 3.30
Th 0.2500 0.2500 0.2500  4 Ce 3.30, 4 Al 3.30
Al 0.5000 0.5000 0.5000  4 Th 3.30, 4 Pm 3.30

Results
The formation energy is 0.021 eV per atom. Its symmetry is F-43m, No. 216. The value obtained for the theoretical density is 8.19 g/cm3.

The following is a DFT calculation (GGA-PBE) of crystalline CePmTmAl at its relaxed geometry.

Cell: 5.3676 5.3676 5.3676 Å, 60.00 60.00 60.00°
Closest atoms and distances in Å follow each position.
Fractional positions:
Ce 0.0000 0.0000 0.0000  4 Tm 3.29, 4 Al 3.29
Pm 0.5000 0.5000 0.5000  4 Tm 3.29, 4 Al 3.29
Tm 0.7500 0.7500 0.7500  4 Ce 3.29, 4 Pm 3.29
Al 0.2500 0.2500 0.2500  4 Ce 3.29, 4 Pm 3.29

Results
The formation energy is -0.033 eV per atom. Its symmetry is F-43m, No. 216. The value obtained for the theoretical density is 7.30 g/cm3.

The following is a DFT calculation (GGA-PBE) of crystalline CePm2Al2Zn2 at its relaxed geometry.

Cell: 9.4333 9.4333 9.4333 Å, 28.23 28.23 28.23°
Closest atoms and distances in Å follow each position.
Fractional positions:
Ce 0.0000 0.0000 0.0000  6 Zn 3.14, 6 Al 3.19, 2 Pm 3.44
Pm 0.1265 0.1265 0.1265  3 Al 3.13, 3 Zn 3.19, 3 Pm 3.44, 1 Ce 3.44
Pm 0.8735 0.8735 0.8735  3 Al 3.13, 3 Zn 3.19, 3 Pm 3.44, 1 Ce 3.44
Al 0.2680 0.2680 0.2680  3 Zn 2.66
Al 0.7320 0.7320 0.7320  3 Zn 2.66
Zn 0.3950 0.3950 0.3950  3 Al 2.66
Zn 0.6050 0.6050 0.6050  3 Al 2.66

Results
The formation energy is -0.274 eV per atom. Its symmetry is R-3m, No. 166. The value obtained for the theoretical density is 6.16 g/cm3.

The following is a DFT calculation (GGA-PBE) of crystalline CePr2Al9 at its relaxed geometry.

Cell: 9.5255 9.5255 9.5255 Å, 34.54 34.54 34.54°
Closest atoms and distances in Å follow each position.
Fractional positions:
Ce 0.0000 0.0000 0.0000  18 Al 3.27-3.58
Pr 0.1398 0.1398 0.1398  12 Al 3.23-3.41, 3 Pr 3.57
Pr 0.8602 0.8602 0.8602  12 Al 3.23-3.41, 3 Pr 3.57
Al 0.0761 0.5844 0.5844  7 Al 2.72-2.88
Al 0.3346 0.3346 0.3346  6 Al 2.72-2.75
Al 0.4156 0.4156 0.9239  7 Al 2.72-2.88
Al 0.4156 0.9239 0.4156  7 Al 2.72-2.88
Al 0.5000 0.5000 0.5000  6 Al 2.82
Al 0.5844 0.0761 0.5844  7 Al 2.72-2.88
Al 0.5844 0.5844 0.0761  7 Al 2.72-2.88
Al 0.6654 0.6654 0.6654  6 Al 2.72-2.75
Al 0.9239 0.4156 0.4156  7 Al 2.72-2.88

Results
The formation energy is -0.374 eV per atom. Its symmetry is R-3m, No. 166. The value obtained for the theoretical density is 4.45 g/cm3.

The following is a DFT calculation (GGA-PBE) of crystalline Ce2PrAl9 at its relaxed geometry.

Cell: 9.4568 9.4568 9.4568 Å, 34.69 34.69 34.69°
Closest atoms and distances in Å follow each position.
Fractional positions:
Ce 0.1434 0.1434 0.1434  12 Al 3.25-3.31, 3 Ce 3.48
Ce 0.8566 0.8566 0.8566  12 Al 3.25-3.31, 3 Ce 3.48
Pr 0.0000 0.0000 0.0000  18 Al 3.26-3.58
Al 0.0764 0.5863 0.5863  7 Al 2.72-2.87
Al 0.3353 0.3353 0.3353  6 Al 2.72-2.77
Al 0.4137 0.4137 0.9236  7 Al 2.72-2.87
Al 0.4137 0.9236 0.4137  7 Al 2.72-2.87
Al 0.5000 0.5000 0.5000  6 Al 2.78
Al 0.5863 0.0764 0.5863  7 Al 2.72-2.87
Al 0.5863 0.5863 0.0764  7 Al 2.72-2.87
Al 0.6647 0.6647 0.6647  6 Al 2.72-2.77
Al 0.9236 0.4137 0.4137  7 Al 2.72-2.87

Results
The formation energy is -0.364 eV per atom. Its symmetry is R-3m, No. 166. The value obtained for the theoretical density is 4.51 g/cm3.

The following is a DFT calculation (GGA-PBE) of crystalline CePr2Al at its relaxed geometry.

Cell: 4.9369 4.9369 4.7079 Å, 90.00 90.00 90.00°
Closest atoms and distances in Å follow each position.
Fractional positions:
Ce 0.0000 0.0000 0.0000  8 Pr 3.41, 4 Al 3.49
Pr 0.0000 0.5000 0.5000  4 Ce 3.41, 4 Al 3.41, 4 Pr 3.49
Pr 0.5000 0.0000 0.5000  4 Ce 3.41, 4 Al 3.41, 4 Pr 3.49
Al 0.5000 0.5000 0.0000  8 Pr 3.41, 4 Ce 3.49

Results
The formation energy is -0.128 eV per atom. Its symmetry is P4/mmm, No. 123. The value obtained for the theoretical density is 6.50 g/cm3. The calculation puts the distance to the lowest polymorph of the same formula at 0.0000 eV per atom.

The following is a DFT calculation (GGA-PBE) of crystalline Ce4PrAl4 at its relaxed geometry.

Cell: 7.3963 7.3963 7.3963 Å, 94.82 94.82 146.28°
Closest atoms and distances in Å follow each position.
Fractional positions:
Ce 0.1878 0.1878 0.3755  2 Ce 2.78
Ce 0.1878 0.8122 0.0000  2 Ce 2.78
Ce 0.8122 0.1878 0.0000  2 Ce 2.78
Ce 0.8122 0.8122 0.6245  2 Ce 2.78
Pr 0.5000 0.5000 0.0000  8 Ce 3.42, 4 Al 3.52
Al 0.1486 0.5000 0.6486  5 Al 2.98-3.00, 6 Ce 3.15-3.29
Al 0.5000 0.1486 0.6486  5 Al 2.98-3.00, 6 Ce 3.15-3.29
Al 0.5000 0.8514 0.3514  5 Al 2.98-3.00, 6 Ce 3.15-3.29
Al 0.8514 0.5000 0.3514  5 Al 2.98-3.00, 6 Ce 3.15-3.29

Results
The formation energy is -0.157 eV per atom. Its symmetry is I4/mmm, No. 139. The value obtained for the theoretical density is 6.25 g/cm3.

The following is a DFT calculation (GGA-PBE) of crystalline CePr2Al at its relaxed geometry.

Cell: 5.4545 5.4545 5.4545 Å, 60.00 60.00 60.00°
Closest atoms and distances in Å follow each position.
Fractional positions:
Ce 0.0000 0.0000 0.0000  8 Pr 3.34
Pr 0.2500 0.2500 0.2500  4 Al 3.34, 4 Ce 3.34
Pr 0.7500 0.7500 0.7500  4 Al 3.34, 4 Ce 3.34
Al 0.5000 0.5000 0.5000  8 Pr 3.34

Results
The formation energy is 0.009 eV per atom. Its symmetry is Fm-3m, No. 225. The value obtained for the theoretical density is 6.50 g/cm3. The calculation puts the distance to the lowest polymorph of the same formula at 0.1374 eV per atom.

The following is a DFT calculation (GGA-PBE) of crystalline CePr2Al at its relaxed geometry.

Cell: 3.6212 3.6212 8.9782 Å, 90.00 90.00 90.00°
Closest atoms and distances in Å follow each position.
Fractional positions:
Ce 0.0000 0.0000 0.0000  8 Pr 3.57, 4 Ce 3.62
Pr 0.5000 0.5000 0.2778  4 Al 3.25, 4 Ce 3.57, 4 Pr 3.62
Pr 0.5000 0.5000 0.7222  4 Al 3.25, 4 Ce 3.57, 4 Pr 3.62
Al 0.0000 0.0000 0.5000  8 Pr 3.25, 4 Al 3.62

Results
The formation energy is -0.093 eV per atom. Its symmetry is P4/mmm, No. 123. The value obtained for the theoretical density is 6.33 g/cm3. The calculation puts the distance to the lowest polymorph of the same formula at 0.0355 eV per atom.